# 1
A relaxed structure of SrCa2Te2. Source: Alexandria, functional PBE.

DOS at the Fermi energy	0.929	states/eV per atom
magnetic moment	0.000	μB per atom
electronic total energy	-0.125	Ha/atom

a b c (Å): 4.843 4.843 8.267
angles (deg): 72.97 72.97 90.00
Atoms (fractional coordinates):
Ca  0.250  0.750  0.500
Te  0.383  0.383  0.234
Ca  0.750  0.250  0.500
Te  0.617  0.617  0.766
Sr  0.000  0.000  0.000


# 2
A relaxed structure of LiP2. Source: Alexandria, functional PBE.

DOS at the Fermi energy	0.385	states/eV per atom
magnetic moment	0.000	μB per atom
formation energy from the elements	-0.034	eV per atom
electronic total energy	-0.157	Ha/atom

a b c (Å): 5.128 5.128 5.128
angles (deg): 60.00 60.00 60.00
Atoms (fractional coordinates):
Li  0.000  0.000  0.000
Li  0.250  0.250  0.250
P  0.125  0.625  0.625
P  0.625  0.625  0.625
P  0.625  0.125  0.625
P  0.625  0.625  0.125